# 1
The following is a PBE calculation of Ba7Tl2Sn2 after structural relaxation, from the Alexandria database.

## Properties
Uncorrected energy ... -28.578 eV per cell
Crystal system ... orthorhombic
SG ... Cmmm, No. 65

a b c (Å): 8.3306 8.5065 8.3306
angles (deg): 90.00 95.34 90.00
Sites, in units of the cell vectors:
Ba (0.9998, 0.2656, 0.5003)
Ba (0.5003, 0.7344, 0.9998)
Ba (0.0002, 0.7344, 0.4997)
Ba (0.4997, 0.2656, 0.0002)
Ba (0.0000, 0.0000, 0.0000)
Ba (0.5002, 0.7436, 0.4998)
Ba (0.4998, 0.2564, 0.5002)
Tl (0.7243, 0.0000, 0.2757)
Tl (0.2757, 0.0000, 0.7243)
Sn (0.7569, 0.5000, 0.7569)
Sn (0.2431, 0.5000, 0.2431)

---

# 2
The following is a PBE calculation of BaTlSn2 after structural relaxation, from the Alexandria database.

## Properties
Uncorrected energy ... -13.052 eV per cell
Crystal system ... cubic
Energy above the most stable polymorph in this dataset ... 17.66 kJ per mole of atoms
SG ... Fm-3m, No. 225

a b c (Å): 5.7272 5.7272 5.7272
angles (deg): 60.00 60.00 60.00
Sites, in units of the cell vectors:
Tl (0.5000, 0.5000, 0.5000)
Ba (0.0000, 0.0000, 0.0000)
Sn (0.2500, 0.2500, 0.2500)
Sn (0.7500, 0.7500, 0.7500)

---

# 3
The following is a PBE calculation of BaTl2Sn after structural relaxation, from the Alexandria database.

## Properties
Uncorrected energy ... -11.969 eV per cell
Crystal system ... trigonal
Energy above the most stable polymorph in this dataset ... 0.86 kJ per mole of atoms
SG ... R-3m, No. 166

a b c (Å): 5.1529 5.1529 6.7077
angles (deg): 67.41 67.41 60.00
Sites, in units of the cell vectors:
Tl (0.7696, 0.7696, 0.6913)
Tl (0.2304, 0.2304, 0.3087)
Ba (0.0000, 0.0000, 0.0000)
Sn (0.5000, 0.5000, 0.5000)

---

# 4
The following is a PBE calculation of Ba2Tl12Sn after structural relaxation, from the Alexandria database.

## Properties
Uncorrected energy ... -75.301 eV per cell
Crystal system ... tetragonal
SG ... P4/nbm, No. 125

a b c (Å): 7.4688 7.4688 18.6229
angles (deg): 90.00 90.00 90.00
Sites, in units of the cell vectors:
Ba (0.5000, 0.0000, 0.2444)
Ba (0.0000, 0.5000, 0.2444)
Ba (0.0000, 0.5000, 0.7556)
Ba (0.5000, 0.0000, 0.7556)
Tl (0.5000, 0.5000, 0.8128)
Tl (0.0000, 0.0000, 0.8128)
Tl (0.7504, 0.7496, 0.9068)
Tl (0.2504, 0.7504, 0.9068)
Tl (0.0000, 0.0000, 0.3477)
Tl (0.2496, 0.7496, 0.0932)
Tl (0.8370, 0.3370, 0.5687)
Tl (0.5000, 0.5000, 0.3477)
Tl (0.2496, 0.2504, 0.9068)
Tl (0.7496, 0.7504, 0.0932)
Tl (0.3370, 0.1630, 0.5687)
Tl (0.6630, 0.1630, 0.4313)
Tl (0.0000, 0.0000, 0.6523)
Tl (0.1630, 0.3370, 0.4313)
Tl (0.2504, 0.2496, 0.0932)
Tl (0.8370, 0.6630, 0.4313)
Tl (0.6630, 0.8370, 0.5687)
Tl (0.0000, 0.0000, 0.1872)
Tl (0.1630, 0.6630, 0.5687)
Tl (0.5000, 0.5000, 0.6523)
Tl (0.7496, 0.2496, 0.9068)
Tl (0.5000, 0.5000, 0.1872)
Tl (0.3370, 0.8370, 0.4313)
Tl (0.7504, 0.2504, 0.0932)
Sn (0.5000, 0.0000, 0.0000)
Sn (0.0000, 0.5000, 0.0000)

---

# 5
The following is a PBE calculation of BaTl4Sn after structural relaxation, from the Alexandria database.

## Properties
Uncorrected energy ... -16.132 eV per cell
Crystal system ... cubic
Energy above the most stable polymorph in this dataset ... 0.37 kJ per mole of atoms
SG ... F-43m, No. 216

a b c (Å): 6.5638 6.5638 6.5638
angles (deg): 60.00 60.00 60.00
Sites, in units of the cell vectors:
Tl (0.6260, 0.6260, 0.1221)
Tl (0.6260, 0.1221, 0.6260)
Tl (0.6260, 0.6260, 0.6260)
Tl (0.1221, 0.6260, 0.6260)
Ba (0.2500, 0.2500, 0.2500)
Sn (0.0000, 0.0000, 0.0000)

---

# 6
The following is a PBE calculation of Ba3Tl2Sn7 after structural relaxation, from the Alexandria database.

## Properties
Uncorrected energy ... -43.137 eV per cell
Crystal system ... trigonal
SG ... R-3m, No. 166

a b c (Å): 6.5654 6.5654 11.2827
angles (deg): 73.09 73.09 60.00
Sites, in units of the cell vectors:
Ba (0.0000, 0.0000, 0.0000)
Ba (0.8604, 0.8604, 0.4189)
Ba (0.1396, 0.1396, 0.5811)
Tl (0.6626, 0.6626, 0.0123)
Tl (0.3374, 0.3374, 0.9877)
Sn (0.5000, 0.5000, 0.5000)
Sn (0.9238, 0.4092, 0.2578)
Sn (0.4092, 0.9238, 0.2578)
Sn (0.4092, 0.4092, 0.2578)
Sn (0.0762, 0.5908, 0.7422)
Sn (0.5908, 0.5908, 0.7422)
Sn (0.5908, 0.0762, 0.7422)

---

# 7
The following is a PBE calculation of Ba2Tl7Sn after structural relaxation, from the Alexandria database.

## Properties
Uncorrected energy ... -26.499 eV per cell
Crystal system ... orthorhombic
Energy above the most stable polymorph in this dataset ... 0.00 kJ per mole of atoms
SG ... C222, No. 21

a b c (Å): 5.3782 5.3782 12.1033
angles (deg): 90.00 90.00 89.88
Sites, in units of the cell vectors:
Ba (0.5000, 0.0000, 0.7603)
Ba (0.0000, 0.5000, 0.2397)
Tl (0.0000, 0.5000, 0.8736)
Tl (0.5000, 0.0000, 0.3711)
Tl (0.5000, 0.0000, 0.1264)
Tl (0.0000, 0.5000, 0.6289)
Tl (0.0000, 0.0000, 0.5000)
Tl (0.0000, 0.0000, 0.0000)
Tl (0.5000, 0.5000, 0.5000)
Sn (0.5000, 0.5000, 0.0000)

---

# 8
The following is a PBE calculation of BaTl4Sn after structural relaxation, from the Alexandria database.

## Properties
Uncorrected energy ... -32.309 eV per cell
Crystal system ... monoclinic
Energy above the most stable polymorph in this dataset ... 0.00 kJ per mole of atoms
SG ... C2/m, No. 12

a b c (Å): 6.1742 5.9196 11.6120
angles (deg): 105.84 106.47 86.11
Sites, in units of the cell vectors:
Ba (0.7634, 0.7545, 0.0001)
Ba (0.2366, 0.2455, 0.9999)
Tl (0.6121, 0.1563, 0.7982)
Tl (0.8148, 0.3592, 0.2019)
Tl (0.3879, 0.8437, 0.2018)
Tl (0.1852, 0.6408, 0.7981)
Tl (0.0494, 0.0744, 0.6531)
Tl (0.3968, 0.4223, 0.3469)
Tl (0.9506, 0.9256, 0.3469)
Tl (0.6032, 0.5777, 0.6531)
Sn (0.5000, 0.0000, 0.5000)
Sn (0.0000, 0.5000, 0.5000)

---

# 9
The following is a PBE calculation of Ba4TlSn after structural relaxation, from the Alexandria database.

## Properties
Uncorrected energy ... -64.782 eV per cell
Crystal system ... cubic
Energy above the most stable polymorph in this dataset ... 3.19 kJ per mole of atoms
SG ... F-43m, No. 216

a b c (Å): 11.7238 11.7238 11.7238
angles (deg): 60.00 60.00 60.00
Sites, in units of the cell vectors:
Ba (0.3977, 0.3977, 0.3977)
Ba (0.8069, 0.3977, 0.3977)
Ba (0.3977, 0.8069, 0.3977)
Ba (0.3977, 0.3977, 0.8069)
Ba (0.5459, 0.5459, 0.9541)
Ba (0.9541, 0.9541, 0.5459)
Ba (0.5459, 0.9541, 0.5459)
Ba (0.9541, 0.5459, 0.9541)
Ba (0.9541, 0.5459, 0.5459)
Ba (0.5459, 0.9541, 0.9541)
Ba (0.1923, 0.1923, 0.8077)
Ba (0.8077, 0.8077, 0.1923)
Ba (0.1923, 0.8077, 0.1923)
Ba (0.8077, 0.1923, 0.8077)
Ba (0.8077, 0.1923, 0.1923)
Ba (0.1923, 0.8077, 0.8077)
Tl (0.1727, 0.1727, 0.1727)
Tl (0.4820, 0.1727, 0.1727)
Tl (0.1727, 0.4820, 0.1727)
Tl (0.1727, 0.1727, 0.4820)
Sn (0.6116, 0.6116, 0.6116)
Sn (0.1652, 0.6116, 0.6116)
Sn (0.6116, 0.1652, 0.6116)
Sn (0.6116, 0.6116, 0.1652)

---

# 10
The following is a PBE calculation of BaTl3Sn8 after structural relaxation, from the Alexandria database.

## Properties
Uncorrected energy ... -42.641 eV per cell
Crystal system ... trigonal
Energy above the most stable polymorph in this dataset ... 0.00 kJ per mole of atoms
SG ... P3m1, No. 156

a b c (Å): 6.4773 6.4773 10.1539
angles (deg): 90.00 90.00 120.00
Sites, in units of the cell vectors:
Ba (0.0000, 0.0000, 0.5692)
Tl (0.6667, 0.3333, 0.4252)
Tl (0.6667, 0.3333, 0.0681)
Tl (0.0000, 0.0000, 0.9478)
Sn (0.3333, 0.6667, 0.5015)
Sn (0.3333, 0.6667, 0.9939)
Sn (0.5059, 0.0118, 0.7515)
Sn (0.5059, 0.4941, 0.7515)
Sn (0.9882, 0.4941, 0.7515)
Sn (0.1641, 0.3282, 0.2467)
Sn (0.1641, 0.8359, 0.2467)
Sn (0.6718, 0.8359, 0.2467)

---

# 11
The following is a PBE calculation of Ba2Tl5Sn3 after structural relaxation, from the Alexandria database.

## Properties
Uncorrected energy ... -60.063 eV per cell
Crystal system ... orthorhombic
SG ... Ibam, No. 72

a b c (Å): 7.0480 10.5235 10.5235
angles (deg): 80.86 70.44 70.44
Sites, in units of the cell vectors:
Ba (0.1254, 0.6227, 0.1264)
Ba (0.6254, 0.1264, 0.6227)
Ba (0.8746, 0.3773, 0.8736)
Ba (0.3746, 0.8736, 0.3773)
Tl (0.3797, 0.2594, 0.9811)
Tl (0.8797, 0.9811, 0.2594)
Tl (0.6203, 0.7406, 0.0189)
Tl (0.1203, 0.0189, 0.7406)
Tl (0.4990, 0.7510, 0.7510)
Tl (0.5010, 0.2490, 0.2490)
Tl (0.7500, 0.5000, 0.5000)
Tl (0.2500, 0.5000, 0.5000)
Tl (0.0010, 0.2490, 0.2490)
Tl (0.9990, 0.7510, 0.7510)
Sn (0.3739, 0.4871, 0.7651)
Sn (0.8739, 0.7651, 0.4871)
Sn (0.6261, 0.5129, 0.2349)
Sn (0.1261, 0.2349, 0.5129)
Sn (0.2500, 0.0000, 0.0000)
Sn (0.7500, 0.0000, 0.0000)

---

# 12
The following is a PBE calculation of Ba3TlSn3 after structural relaxation, from the Alexandria database.

## Properties
Uncorrected energy ... -48.547 eV per cell
Crystal system ... monoclinic
SG ... C2/m, No. 12

a b c (Å): 5.2761 6.9503 15.9214
angles (deg): 83.38 80.46 67.69
Sites, in units of the cell vectors:
Ba (0.5219, 0.3366, 0.6195)
Ba (0.4781, 0.6634, 0.3805)
Ba (0.2706, 0.2308, 0.2280)
Ba (0.7294, 0.7692, 0.7720)
Ba (0.3926, 0.2891, 0.9258)
Ba (0.6074, 0.7109, 0.0742)
Tl (0.7777, 0.0489, 0.3957)
Tl (0.2223, 0.9511, 0.6043)
Sn (0.8632, 0.7233, 0.5502)
Sn (0.1368, 0.2767, 0.4498)
Sn (0.1025, 0.8710, 0.9239)
Sn (0.8975, 0.1290, 0.0761)
Sn (0.9849, 0.8076, 0.2227)
Sn (0.0151, 0.1924, 0.7773)

---

Calculated formation enthalpy at 0 K in order - -20.9 -18.3 -31.6 -9.0 -11.9 -37.1 -20.1 -12.3 -34.3 -12.8 -22.6 -56.9 kJ per mole of atoms